A relaxed structure of NaCrClF2, computed with PBE with a Hubbard U.

The theoretical density is 2.69 g/cm3. The value obtained for the total DFT energy (no corrections) is -25.5 eV/f.u. Its total magnetic moment is 4.00 μB/f.u.

The space group is P4/mmm (No. 123) and the conventional cell measures 4.0243, 4.0243 and 5.6509 Å, with angles of 90.00, 90.00 and 90.00 degrees. Symmetry generates all atoms from Na at (0.0000, 0.0000, 0.0000), Cr at (0.5000, 0.5000, 0.5000), Cl at (0.5000, 0.5000, 0.0000) and F at (0.0000, 0.5000, 0.5000).